Run A
# Ni3HgBr, optimized geometry, DFT PBE
# M_tot: 0.30 μB per atom
data_Ni3HgBr
_space_group_name_H-M_alt 'P m -3 m'
_space_group_IT_number 221
_space_group_name_Hall '-P 4 2 3'
_cell_length_a 4.8379
_cell_length_b 4.8379
_cell_length_c 4.8379
_cell_angle_alpha 90.00
_cell_angle_beta 90.00
_cell_angle_gamma 90.00
loop_
_atom_site_label
_atom_site_type_symbol
_atom_site_fract_x
_atom_site_fract_y
_atom_site_fract_z
Ni1 Ni 0.0000 0.0000 0.5000
Hg1 Hg 0.0000 0.0000 0.0000
Br1 Br 0.5000 0.5000 0.5000

Run B
# Ni3HgBr, optimized geometry, DFT PBE
# M_tot: 0.00 μB per atom
data_Ni3HgBr
_space_group_name_H-M_alt 'P m -3 m'
_space_group_IT_number 221
_space_group_name_Hall '-P 4 2 3'
_cell_length_a 4.4259
_cell_length_b 4.4259
_cell_length_c 4.4259
_cell_angle_alpha 90.00
_cell_angle_beta 90.00
_cell_angle_gamma 90.00
loop_
_atom_site_label
_atom_site_type_symbol
_atom_site_fract_x
_atom_site_fract_y
_atom_site_fract_z
Ni1 Ni 0.0000 0.0000 0.5000
Hg1 Hg 0.5000 0.5000 0.5000
Br1 Br 0.0000 0.0000 0.0000

Least stable structure: run A